Record 1
The following is a DFT calculation (PBE) of crystalline Li2TaIr at its relaxed geometry.

Cell and atoms, written as POSCAR:
```
Li2TaIr
1.0
1.3624 0.7866 9.6958
-1.3624 0.7866 9.6958
0.0000 -1.5731 9.6958
Li Ta Ir
2 1 1
Direct
0.2416 0.2416 0.2416 Li
0.7584 0.7584 0.7584 Li
0.0000 0.0000 0.0000 Ta
0.5000 0.5000 0.5000 Ir
```

Results
The value obtained for the total energy is -24.12 eV per cell. The value obtained for the size of the total moment is 0.0 μB/f.u. The calculation puts the energy of formation at 105.0 meV per atom. The symmetry is R-3m (166). The distance to the lowest polymorph of the same formula is 1.06 eV/f.u.

---

Record 2
The following is a DFT calculation (PBE) of crystalline Nd3ZnRu3 at its relaxed geometry.

Cell and atoms, written as POSCAR:
```
Nd3ZnRu3
1.0
2.2007 -5.2626 0.0000
2.2007 5.2626 0.0000
0.0000 0.0000 13.4885
Nd Zn Ru
6 2 6
Direct
0.0026 0.9974 0.7500 Nd
0.2930 0.7070 0.6037 Nd
0.2930 0.7070 0.8963 Nd
0.7070 0.2930 0.1037 Nd
0.7070 0.2930 0.3963 Nd
0.9974 0.0026 0.2500 Nd
0.0000 0.0000 0.0000 Zn
0.0000 0.0000 0.5000 Zn
0.2949 0.7051 0.2500 Ru
0.4206 0.5794 0.0929 Ru
0.4206 0.5794 0.4071 Ru
0.5794 0.4206 0.5929 Ru
0.5794 0.4206 0.9071 Ru
0.7051 0.2949 0.7500 Ru
```

Results
The value obtained for the total energy is -89.94 eV per cell. The value obtained for the size of the total moment is 0.0 μB/f.u. The calculation puts the energy of formation at -223.6 meV per atom. The symmetry is Cmcm (63).

---

Record 3
The following is a DFT calculation (PBE) of crystalline Np2InSn9 at its relaxed geometry.

Cell and atoms, written as POSCAR:
```
Np2InSn9
1.0
4.6399 0.0000 0.0000
0.0000 4.6399 0.0000
0.0000 0.0000 14.5273
Np In Sn
2 1 9
Direct
0.0000 0.0000 0.1566 Np
0.0000 0.0000 0.8434 Np
0.0000 0.0000 0.5000 In
0.0000 0.5000 0.0000 Sn
0.0000 0.5000 0.3270 Sn
0.0000 0.5000 0.6730 Sn
0.5000 0.0000 0.0000 Sn
0.5000 0.0000 0.3270 Sn
0.5000 0.0000 0.6730 Sn
0.5000 0.5000 0.1647 Sn
0.5000 0.5000 0.5000 Sn
0.5000 0.5000 0.8353 Sn
```

Results
The value obtained for the total energy is -65.25 eV per cell. The value obtained for the size of the total moment is 8.5 μB/f.u. The calculation puts the energy of formation at -50.8 meV per atom. The symmetry is P4/mmm (123).

---

Record 4
The following is a DFT calculation (PBE) of crystalline CoNi2Rh at its relaxed geometry.

Cell and atoms, written as POSCAR:
```
CoNi2Rh
1.0
-1.8016 1.8016 3.6798
1.8016 -1.8016 3.6798
1.8016 1.8016 -3.6798
Co Ni Rh
1 2 1
Direct
0.0000 0.0000 0.0000 Co
0.2500 0.7500 0.5000 Ni
0.7500 0.2500 0.5000 Ni
0.5000 0.5000 0.0000 Rh
```

Results
The value obtained for the total energy is -25.91 eV per cell. The value obtained for the size of the total moment is 4.1 μB/f.u. The calculation puts the energy of formation at 28.7 meV per atom. The symmetry is I4/mmm (139). The distance to the lowest polymorph of the same formula is 0.07 eV/f.u.

---

Record 5
The following is a DFT calculation (PBE) of crystalline TaAgW2 at its relaxed geometry.

Cell and atoms, written as POSCAR:
```
TaAgW2
1.0
1.6191 -2.2253 0.0000
1.6191 2.2253 0.0000
0.0000 0.0000 9.4046
Ta Ag W
1 1 2
Direct
0.0000 0.0000 0.0000 Ta
0.0000 0.0000 0.5000 Ag
0.5000 0.5000 0.2466 W
0.5000 0.5000 0.7534 W
```

Results
The value obtained for the total energy is -39.48 eV per cell. The value obtained for the size of the total moment is 0.0 μB/f.u. The calculation puts the energy of formation at 283.1 meV per atom. The symmetry is Cmmm (65). The distance to the lowest polymorph of the same formula is 0.25 eV/f.u.

---

Record 6
The following is a DFT calculation (PBE) of crystalline La3Pd2Pt7 at its relaxed geometry.

Cell and atoms, written as POSCAR:
```
La3Pd2Pt7
1.0
2.7410 1.5825 9.0471
-2.7410 1.5825 9.0471
0.0000 -3.1651 9.0471
La Pd Pt
3 2 7
Direct
0.0000 0.0000 0.0000 La
0.1390 0.1390 0.1390 La
0.8610 0.8610 0.8610 La
0.3327 0.3327 0.3327 Pd
0.6673 0.6673 0.6673 Pd
0.0816 0.5858 0.5858 Pt
0.4142 0.4142 0.9184 Pt
0.4142 0.9184 0.4142 Pt
0.5000 0.5000 0.5000 Pt
0.5858 0.0816 0.5858 Pt
0.5858 0.5858 0.0816 Pt
0.9184 0.4142 0.4142 Pt
```

Results
The value obtained for the total energy is -78.83 eV per cell. The value obtained for the size of the total moment is 0.0 μB/f.u. The calculation puts the energy of formation at -948.4 meV per atom. The symmetry is R-3m (166).